Cs2KS | PBE | relaxed

The energy above the lowest structure with this stoichiometry is 0.327 eV/f.u. The calculation puts the formation energy from raw total energies at -583 meV/atom. The calculation puts the total moment at 0.003 μB per formula unit. The space-group type is P4/mmm, No. 123.

Lattice parameters (Å, degrees): 4.304 4.304 12.542 90.00 90.00 90.00
Positions (direct):
Cs 0.000 0.000 0.142
Cs 0.000 0.000 0.858
K 0.500 0.500 0.500
S 0.500 0.500 0.000

=====

Cs4K2S | PBE | relaxed

The energy above the lowest structure with this stoichiometry is 0.000 eV/f.u. The calculation puts the formation energy from raw total energies at -382 meV/atom. The calculation puts the total moment at 0.000 μB per formula unit. The space-group type is I4/mmm, No. 139.

Lattice parameters (Å, degrees): 6.846 6.846 13.628 75.45 75.45 90.00
Positions (direct):
Cs 0.871 0.871 0.259
Cs 0.500 0.000 0.000
Cs 0.129 0.129 0.741
Cs 0.000 0.500 0.000
K 0.313 0.313 0.373
K 0.687 0.687 0.627
S 0.000 0.000 0.000

=====

Cs2KS | PBE | relaxed

The energy above the lowest structure with this stoichiometry is 0.157 eV/f.u. The calculation puts the formation energy from raw total energies at -626 meV/atom. The calculation puts the total moment at 0.022 μB per formula unit. The space-group type is R-3m, No. 166.

Lattice parameters (Å, degrees): 5.094 5.094 13.647 79.24 79.24 60.00
Positions (direct):
Cs 0.874 0.874 0.378
Cs 0.126 0.126 0.622
S 0.500 0.500 0.500
K 0.000 0.000 0.000

=====

no.,final energy (eV per atom)
1,-2.316
2,-1.773
3,-2.359